The following is a PBE-GGA calculation of Rb2Cd5Sn4 after structural relaxation, from Alexandria via LeMat-Bulk.

Values from the calculation:
- ΔE_f (eV/atom) = -0.02
- calculated volume (Å³/cell) = 382
- size of the total moment (Bohr magnetons per cell) = 0.00
- SG = No. 69
- final energy (eV/atom) = -2.064

```
data_Rb2Cd5Sn4
_symmetry_space_group_name_H-M 'P 1'
_symmetry_Int_Tables_number 1
_cell_length_a 10.7189
_cell_length_b 8.3315
_cell_length_c 8.2243
_cell_angle_alpha 80.69
_cell_angle_beta 50.09
_cell_angle_gamma 49.22
loop_
_symmetry_equiv_pos_as_xyz
'x,y,z'
loop_
_atom_site_label
_atom_site_fract_x
_atom_site_fract_y
_atom_site_fract_z
Rb1 0.1537 0.8463 0.1537
Rb2 0.8463 0.1537 0.8463
Cd1 0.0000 0.5000 0.0000
Cd2 0.2500 0.2500 0.2500
Cd3 0.5000 0.0000 0.5000
Cd4 0.5000 0.5000 0.5000
Cd5 0.7500 0.7500 0.7500
Sn1 0.2302 0.4791 0.5209
Sn2 0.4791 0.2302 0.7698
Sn3 0.5209 0.7698 0.2302
Sn4 0.7698 0.5209 0.4791
```